No. 1
PrDyTe2 (PBE, relaxed); uncorrected formation energy = -1246 meV/atom; calculated total energy = -20.649 eV per cell; V = 113.3 Å³ per cell; ΔE to the lowest computed polymorph = 0.1432 eV/atom; DOS at the Fermi energy = 3.49 states/eV per cell; space group = P4/mmm
1.0
3.838 0.000 0.000
0.000 3.838 0.000
0.000 0.000 7.689
Pr Dy Te
1 1 2
direct
0.000 0.000 0.000 Pr
0.000 0.000 0.500 Dy
0.500 0.500 0.259 Te
0.500 0.500 0.741 Te



No. 2
PrDyTe (PBE, relaxed); uncorrected formation energy = -806 meV/atom; calculated total energy = -59.766 eV per cell; V = 376.2 Å³ per cell; ΔE to the lowest computed polymorph = 0.0000 eV/atom; DOS at the Fermi energy = 11.30 states/eV per cell; space group = Cc
1.0
5.015 -6.081 0.000
5.015 6.081 0.000
-4.970 0.000 6.169
Pr Dy Te
4 4 4
direct
0.102 0.550 0.953 Pr
0.204 0.796 0.500 Pr
0.550 0.102 0.453 Pr
0.796 0.204 0.000 Pr
0.262 0.352 0.614 Dy
0.352 0.262 0.114 Dy
0.656 0.702 0.662 Dy
0.702 0.656 0.162 Dy
0.055 0.960 0.166 Te
0.455 0.844 0.951 Te
0.844 0.455 0.451 Te
0.960 0.055 0.666 Te